# 1
First-principles (PBE-GGA) data for a relaxed Pm3Pr2Ge4 crystal, as listed in the Alexandria database.

V: 500 Å³/cell
polymorph energy (0 for the lowest one): 0.1572 eV/atom
ΔE_f: -666 meV per atom
calculated density: 6.7 Mg/m³

Geometry as POSCAR:
```
Pm3Pr2Ge4
1.0
7.1141 0.0000 0.0000
0.0000 8.5007 0.0000
-3.5570 0.0000 8.2677
Pm Pr Ge
6 4 8
Cartesian
3.5570 4.2503 0.0000
0.0000 0.0000 0.0000
1.7785 6.3755 4.8756
5.3356 2.1252 3.3920
-1.7785 6.3755 4.8756
1.7785 2.1252 3.3920
3.5570 7.7051 1.7643
0.0000 0.7956 6.5033
3.5570 3.4548 6.5033
0.0000 5.0459 1.7643
1.7785 6.3755 7.7962
5.3356 2.1252 0.4714
3.5570 0.4844 5.1509
1.7785 2.1252 0.4714
0.0000 8.0163 3.1167
-1.7785 6.3755 7.7962
0.0000 3.7659 5.1509
3.5570 4.7347 3.1167
```

***

# 2
First-principles (PBE-GGA) data for a relaxed PmPr2Ge3Pt4 crystal, as listed in the Alexandria database.

V: 214 Å³/cell
ΔE_f: -929 meV per atom
calculated density: 11.0 Mg/m³

Geometry as POSCAR:
```
PmPr2Ge3Pt4
1.0
-0.7338 4.2496 -0.7237
-1.5140 0.4333 4.0794
10.3478 2.3974 3.5857
Pt Ge Pr Pm
4 3 2 1
Cartesian
6.4798 3.7110 2.0106
0.0000 0.0000 0.0000
-1.1239 2.3415 1.6778
2.7441 1.0278 3.2529
8.7515 4.2373 2.7978
5.1739 1.1987 1.7928
0.4724 0.5015 2.4657
7.3142 2.0866 4.8365
1.9097 2.6522 0.4270
4.0500 3.5402 3.4707
```